Material: La2DyYTm2
Method: DFT, PBE-GGA
State: relaxed

Unit cell a=5.6801 b=7.0845 c=9.8439 alpha=90.00 beta=90.00 gamma=90.00
With the nearest neighbours (Å) after each atom.
Element x y z (fractional)
La  0.5000  0.5077  0.9999  6 La 3.54-3.77, 6 Tm 3.73-3.75, 2 Dy 3.79
La  0.0000  0.2577  0.1766  5 Tm 3.24-3.54
La  0.0000  0.7577  0.8234  5 Tm 3.24-3.54
La  0.5000  0.0077  0.0001  6 La 3.54-3.77, 6 Tm 3.73-3.75, 2 Dy 3.79
Y  0.0000  0.0075  0.4999  2 Y 3.54, 2 La 3.64, 4 Dy 3.70, 6 Tm 3.72-3.73
Y  0.0000  0.5075  0.5001  2 Y 3.54, 2 La 3.64, 4 Dy 3.70, 6 Tm 3.72-3.73
Dy  0.5000  0.7575  0.3402  5 Tm 3.19-3.54
Dy  0.5000  0.2575  0.6598  5 Tm 3.19-3.54
Tm  0.0000  0.2577  0.8334  2 Dy 3.31, 3 La 3.38-3.54
Tm  0.0000  0.7577  0.1666  2 Dy 3.31, 3 La 3.38-3.54
Tm  0.5000  0.7575  0.6647  3 Dy 3.19-3.54, 2 La 3.24
Tm  0.5000  0.2575  0.3353  3 Dy 3.19-3.54, 2 La 3.24

Values from the calculation:
The formation energy is 69 meV per atom.

***

Material: V2Ni3Rh3
Method: DFT, PBE-GGA
State: relaxed

Unit cell a=3.7255 b=3.7808 c=7.1901 alpha=90.00 beta=90.00 gamma=90.00
With the nearest neighbours (Å) after each atom.
Element x y z (fractional)
Rh  0.5000  0.0000  0.0000  4 V 2.58, 8 Ni 2.59-2.65
Rh  0.0000  0.5000  0.5000  4 Ni 2.61, 4 V 2.62, 4 Rh 2.65
Rh  0.5000  0.0000  0.5000  4 V 2.60, 4 Ni 2.63, 4 Rh 2.65
Ni  0.0000  0.5000  0.0000  4 Ni 2.57, 4 V 2.60, 4 Rh 2.65
Ni  0.5000  0.5000  0.2466  2 Ni 2.57, 6 Rh 2.59-2.63, 4 V 2.65
Ni  0.5000  0.5000  0.7534  2 Ni 2.57, 6 Rh 2.59-2.63, 4 V 2.65
V  0.0000  0.0000  0.2474  6 Rh 2.58-2.62, 6 Ni 2.60-2.65
V  0.0000  0.0000  0.7526  6 Rh 2.58-2.62, 6 Ni 2.60-2.65

Values from the calculation:
The formation energy is -296 meV per atom.

***

Material: ZrWCl2
Method: DFT, PBE-GGA
State: relaxed

Unit cell a=2.9155 b=5.7306 c=4.4633 alpha=90.00 beta=90.00 gamma=90.00
With the nearest neighbours (Å) after each atom.
Element x y z (fractional)
Zr  0.0000  0.5000  0.5000  4 Cl 2.67, 2 Zr 2.92
W  0.5000  0.0000  0.5000  4 Cl 2.67, 2 W 2.92
Cl  0.5000  0.5000  0.0000  4 Zr 2.67, 2 Cl 2.92
Cl  0.0000  0.0000  0.0000  4 W 2.67, 2 Cl 2.92

Values from the calculation:
The calculation puts the raw formation energy at 0.687 eV/f.u. Its relative energy among the computed polymorphs is 678.1 meV per atom.

***

Material: La4Al2Cd
Method: DFT, PBE-GGA
State: relaxed

Unit cell a=5.3876 b=5.3876 c=9.1728 alpha=72.92 beta=72.92 gamma=60.00
With the nearest neighbours (Å) after each atom.
Element x y z (fractional)
La  0.6167  0.6167  0.1500  4 Al 3.20-3.34, 3 Cd 3.37
La  0.1310  0.1310  0.6069  4 Al 3.20-3.39, 1 Cd 3.39
La  0.8690  0.8690  0.3931  4 Al 3.20-3.39, 1 Cd 3.39
La  0.3833  0.3833  0.8500  4 Al 3.20-3.34, 3 Cd 3.37
Al  0.2545  0.2545  0.2365  8 La 3.20-3.39
Al  0.7455  0.7455  0.7635  8 La 3.20-3.39
Cd  0.0000  0.0000  0.0000  8 La 3.37-3.39, 6 Al 3.72

Values from the calculation:
The formation energy is -245 meV per atom.

***

Material: HoPaBe
Method: DFT, PBE-GGA
State: relaxed

Unit cell a=5.6641 b=5.4706 c=10.0878 alpha=81.64 beta=73.70 gamma=58.82
With the nearest neighbours (Å) after each atom.
Element x y z (fractional)
Be  0.1246  0.0000  0.7509  2 Be 2.74, 4 Pa 2.86-2.95, 4 Ho 2.90-2.91
Be  0.6254  0.5000  0.7491  2 Be 2.74, 4 Pa 2.86-2.95, 4 Ho 2.90-2.91
Be  0.8754  0.0000  0.2491  2 Be 2.74, 4 Pa 2.86-2.95, 4 Ho 2.90-2.91
Be  0.8746  0.5000  0.2509  2 Be 2.74, 4 Pa 2.86-2.95, 4 Ho 2.90-2.91
Ho  0.8268  0.3465  0.0000  4 Be 2.90-2.91, 3 Ho 3.18-3.24
Ho  0.1732  0.6535  0.0000  4 Be 2.90-2.91, 3 Ho 3.18-3.24
Ho  0.9232  0.1535  0.5000  4 Be 2.90-2.91, 3 Ho 3.18-3.24
Ho  0.5768  0.8465  0.5000  4 Be 2.90-2.91, 3 Ho 3.18-3.24
Pa  0.5828  0.0000  0.8343  4 Be 2.86-2.95, 2 Pa 3.19
Pa  0.3328  0.5000  0.3343  4 Be 2.86-2.95, 2 Pa 3.19
Pa  0.4172  0.0000  0.1657  4 Be 2.86-2.95, 2 Pa 3.19
Pa  0.1672  0.5000  0.6657  4 Be 2.86-2.95, 2 Pa 3.19

Values from the calculation:
The formation energy is 219 meV per atom.

***

Material: Ti2Ge2Sb
Method: DFT, PBE-GGA
State: relaxed

Unit cell a=4.9099 b=4.9099 c=5.4294 alpha=63.12 beta=63.12 gamma=90.00
With the nearest neighbours (Å) after each atom.
Element x y z (fractional)
Ti  0.2500  0.7500  0.5000  4 Ge 2.58
Ti  0.7500  0.2500  0.5000  4 Ge 2.58
Ge  0.6534  0.6534  0.6933  1 Ge 2.56, 4 Ti 2.58
Ge  0.3466  0.3466  0.3067  1 Ge 2.56, 4 Ti 2.58
Sb  0.0000  0.0000  0.0000  2 Ge 2.89, 8 Ti 3.22

Values from the calculation:
The calculation puts the raw formation energy at -0.587 eV/f.u. Its relative energy among the computed polymorphs is 256.4 meV per atom.

***

Material: AlTlO2
Method: DFT, PBE-GGA
State: relaxed

Unit cell a=6.9297 b=6.9297 c=5.5930 alpha=51.72 beta=51.72 gamma=90.00
With the nearest neighbours (Å) after each atom.
Element x y z (fractional)
O  0.3723  0.1277  0.0000  2 Al 1.84
O  0.1277  0.6277  0.0000  2 Al 1.84
O  0.6277  0.8723  0.0000  2 Al 1.84
O  0.8723  0.3723  0.0000  2 Al 1.84
Al  0.7500  0.2500  0.5000  4 O 1.84
Al  0.2500  0.7500  0.5000  4 O 1.84
Tl  0.7500  0.7500  0.5000  2 Tl 2.70
Tl  0.2500  0.2500  0.5000  2 Tl 2.70

Values from the calculation:
The calculation puts the raw formation energy at -7.122 eV/f.u. Its relative energy among the computed polymorphs is 348.8 meV per atom.

***

Material: HgRu2W
Method: DFT, PBE-GGA
State: relaxed

Unit cell a=4.5140 b=4.5140 c=4.5140 alpha=60.00 beta=60.00 gamma=60.00
With the nearest neighbours (Å) after each atom.
Element x y z (fractional)
Hg  0.5000  0.5000  0.5000  4 Ru 2.76, 4 W 2.76
Ru  0.7500  0.7500  0.7500  4 Ru 2.76, 4 Hg 2.76
Ru  0.0000  0.0000  0.0000  4 W 2.76, 4 Ru 2.76
W  0.2500  0.2500  0.2500  4 Hg 2.76, 4 Ru 2.76

Values from the calculation:
The formation energy is 813 meV per atom. Its relative energy among the computed polymorphs is 594.7 meV per atom.

***

Material: CrH2W
Method: DFT, PBE-GGA
State: relaxed

Unit cell a=4.0667 b=4.0667 c=5.0221 alpha=66.12 beta=66.12 gamma=90.00
With the nearest neighbours (Å) after each atom.
Element x y z (fractional)
H  0.1564  0.6250  0.2500  2 Cr 1.70, 2 W 1.84
H  0.3750  0.4064  0.7500  2 Cr 1.70, 2 W 1.84
H  0.5936  0.1250  0.2500  2 Cr 1.70, 2 W 1.84
H  0.8750  0.8436  0.7500  2 Cr 1.70, 2 W 1.84
W  0.0000  0.0000  0.0000  4 H 1.84
W  0.7500  0.2500  0.5000  4 H 1.84
Cr  0.2500  0.7500  0.5000  4 H 1.70
Cr  0.5000  0.5000  0.0000  4 H 1.70

Values from the calculation:
Its relative energy among the computed polymorphs is 36.5 meV per atom.

***

Material: KTlCd2
Method: DFT, PBE-GGA
State: relaxed

Unit cell a=5.0212 b=5.0374 c=4.8820 alpha=90.00 beta=90.00 gamma=90.00
With the nearest neighbours (Å) after each atom.
Element x y z (fractional)
Tl  0.0000  0.5000  0.5000  8 Cd 3.50-3.51, 4 K 3.56
Cd  0.0000  0.0000  0.0000  4 K 3.50, 4 Tl 3.51, 4 Cd 3.56
Cd  0.5000  0.5000  0.0000  4 Tl 3.50, 4 K 3.51, 4 Cd 3.56
K  0.5000  0.0000  0.5000  8 Cd 3.50-3.51, 4 Tl 3.56

Values from the calculation:
The formation energy is 19 meV per atom. Its relative energy among the computed polymorphs is 85.5 meV per atom.

***

Material: NaPmHo2
Method: DFT, PBE-GGA
State: relaxed

Unit cell a=3.5158 b=3.5158 c=12.8775 alpha=82.15 beta=82.15 gamma=60.00
With the nearest neighbours (Å) after each atom.
Element x y z (fractional)
Ho  0.9085  0.9085  0.2746  1 Na 3.49, 3 Pm 3.51, 6 Ho 3.52
Ho  0.0915  0.0915  0.7254  1 Na 3.49, 3 Pm 3.51, 6 Ho 3.52
Na  0.0000  0.0000  0.0000  2 Ho 3.49, 6 Na 3.52
Pm  0.5000  0.5000  0.5000  6 Ho 3.51, 6 Pm 3.52

Values from the calculation:
The formation energy is 184 meV per atom. Its relative energy among the computed polymorphs is 32.8 meV per atom.

***

Material: BiWSe2N
Method: DFT, PBE-GGA
State: relaxed

Unit cell a=4.4622 b=4.6723 c=4.4622 alpha=90.00 beta=90.00 gamma=90.00
With the nearest neighbours (Å) after each atom.
Element x y z (fractional)
Bi  0.0000  0.5000  0.0000  2 N 2.34
N  0.0000  0.0000  0.0000  4 Se 2.23, 2 Bi 2.34
Se  0.0000  0.0000  0.5000  2 N 2.23
Se  0.5000  0.0000  0.0000  2 N 2.23
W  0.5000  0.5000  0.5000  4 Bi 3.16, 8 Se 3.23

Values from the calculation:
The calculation puts the raw formation energy at 6.507 eV/f.u. Its relative energy among the computed polymorphs is 1189.3 meV per atom.

***

For each record above, in turn, the calculated volume values are 33.01; 12.66; 18.64; 30.99; 21.39; 20.13; 16.19; 16.26; 8.51; 30.87; 34.03; 18.61 Å³ per atom.